Record 1
VASP calculation (PBE) on a relaxed structure of Na5B8C2.

Summary:
As for the formation energy: 198.9 meV per atom. Its mass density is 2.32 g/cm3. For the total energy, the calculation gives -150.96 eV/cell. The calculation puts the energy above the most stable polymorph in this dataset at 29 meV/atom. The total magnetization comes out at 0.000 μB/cell.

a b c (Å): 5.0478 8.6276 7.7644
angles (deg): 90.00 107.56 90.00
Last column: nearest neighbours and their distance in Å.
Positions (direct):
Na 0.0000 0.0000 0.0000  8 B 2.69-2.77, 4 C 2.73-2.74, 6 Na 2.90-2.95
Na 0.0000 0.5000 0.0000  8 B 2.69-2.77, 4 C 2.73-2.74, 6 Na 2.90-2.95
Na 0.1969 0.0014 0.3990  11 B 2.70-2.87, 1 C 2.75, 6 Na 2.88-2.99
Na 0.1969 0.4986 0.3990  11 B 2.70-2.87, 1 C 2.75, 6 Na 2.88-2.99
Na 0.4032 0.5020 0.8008  9 B 2.70-2.79, 3 C 2.73-2.76, 6 Na 2.89-2.98
Na 0.4032 0.9980 0.8008  9 B 2.70-2.79, 3 C 2.73-2.76, 6 Na 2.89-2.98
Na 0.5968 0.0020 0.1992  9 B 2.70-2.79, 3 C 2.73-2.76, 6 Na 2.89-2.98
Na 0.5968 0.4980 0.1992  9 B 2.70-2.79, 3 C 2.73-2.76, 6 Na 2.89-2.98
Na 0.8031 0.5014 0.6010  11 B 2.70-2.87, 1 C 2.75, 6 Na 2.88-2.99
Na 0.8031 0.9986 0.6010  11 B 2.70-2.87, 1 C 2.75, 6 Na 2.88-2.99
B 0.0689 0.2500 0.8119  2 C 1.62-1.63, 1 B 1.79
B 0.0791 0.7500 0.8061  3 B 1.75-1.76
B 0.1254 0.7500 0.5918  3 B 1.68-1.75
B 0.1415 0.2500 0.6003  3 B 1.68-1.79
B 0.2651 0.2500 0.1866  1 C 1.62, 2 B 1.74-1.76
B 0.3496 0.7500 0.0114  2 C 1.63-1.64, 1 B 1.76
B 0.4766 0.7500 0.6065  3 B 1.74-1.80
B 0.4958 0.2500 0.6196  1 C 1.58, 1 B 1.75
B 0.5042 0.7500 0.3804  1 C 1.58, 1 B 1.75
B 0.5234 0.2500 0.3935  3 B 1.74-1.80
B 0.6504 0.2500 0.9886  2 C 1.63-1.64, 1 B 1.76
B 0.7349 0.7500 0.8134  1 C 1.62, 2 B 1.74-1.76
B 0.8585 0.7500 0.3997  3 B 1.68-1.79
B 0.8746 0.2500 0.4082  3 B 1.68-1.75
B 0.9209 0.2500 0.1939  3 B 1.75-1.76
B 0.9311 0.7500 0.1881  2 C 1.62-1.63, 1 B 1.79
C 0.2586 0.7500 0.1965  3 B 1.58-1.64
C 0.3303 0.2500 0.9951  3 B 1.62-1.63
C 0.6697 0.7500 0.0049  3 B 1.62-1.63
C 0.7414 0.2500 0.8035  3 B 1.58-1.64

---

Record 2
VASP calculation (PBE) on a relaxed structure of Na5B6C4.

Summary:
As for the formation energy: 62.3 meV per atom. Its mass density is 2.52 g/cm3. For the total energy, the calculation gives -165.24 eV/cell. The calculation puts the energy above the most stable polymorph in this dataset at 10 meV/atom. The total magnetization comes out at 0.003 μB/cell.

a b c (Å): 11.4195 11.4195 9.8483
angles (deg): 107.85 107.85 14.23
Last column: nearest neighbours and their distance in Å.
Positions (direct):
Na 0.0000 0.0000 0.0000  9 B 2.68-2.85, 3 C 2.69-2.73, 6 Na 2.83-2.89
Na 0.0999 0.0999 0.6994  9 B 2.68-2.85, 3 C 2.69-2.72, 6 Na 2.83-2.88
Na 0.1998 0.1998 0.4018  6 B 2.60-2.71, 6 C 2.64-2.71, 6 Na 2.83-2.87
Na 0.3009 0.3009 0.0998  6 B 2.60-2.72, 6 C 2.64-2.71, 6 Na 2.83-2.88
Na 0.3987 0.3987 0.8010  7 B 2.65-2.76, 5 C 2.67-2.74, 6 Na 2.83-2.89
Na 0.5000 0.5000 0.4965  7 B 2.65-2.76, 5 C 2.66-2.74, 6 Na 2.83-2.88
Na 0.6002 0.6002 0.2008  8 B 2.65-2.76, 4 C 2.66-2.78, 6 Na 2.83-2.88
Na 0.7004 0.7004 0.9000  8 B 2.65-2.75, 4 C 2.67-2.78, 6 Na 2.83-2.88
Na 0.7992 0.7992 0.6011  6 C 2.65-2.70, 6 B 2.66-2.68, 6 Na 2.83-2.87
Na 0.9002 0.9002 0.2984  6 C 2.64-2.70, 6 B 2.66-2.68, 6 Na 2.83-2.86
B 0.0158 0.0158 0.2818  3 C 1.64-1.67
B 0.1222 0.1222 0.9940  3 B 1.73
B 0.1915 0.1915 0.1327  2 C 1.60, 1 B 1.73
B 0.2160 0.2160 0.6809  3 C 1.64-1.67
B 0.3802 0.3802 0.5109  3 C 1.59-1.62
B 0.4156 0.4156 0.0832  3 C 1.64-1.67
B 0.5148 0.5148 0.7795  3 B 1.69-1.74
B 0.5825 0.5825 0.9146  3 B 1.69-1.73
B 0.6162 0.6162 0.4805  3 C 1.64-1.67
B 0.7859 0.7859 0.3224  3 C 1.61
B 0.8158 0.8158 0.8826  3 C 1.64-1.67
B 0.9740 0.9740 0.6980  1 C 1.56
C 0.0830 0.0830 0.4139  3 B 1.64-1.67
C 0.2826 0.2826 0.8154  3 B 1.64-1.67
C 0.3165 0.3165 0.3836  3 B 1.59-1.61
C 0.4822 0.4822 0.2164  3 B 1.64-1.67
C 0.6831 0.6831 0.6137  3 B 1.64-1.67
C 0.7217 0.7217 0.1932  3 B 1.60-1.61
C 0.8822 0.8822 0.0168  3 B 1.64-1.67
C 0.9117 0.9117 0.5739  3 B 1.56-1.62

---

> The highest mass density belongs to which entry?

Na5B6C4

---

Copy entry 1 word for word.
VASP calculation (PBE) on a relaxed structure of Na5B8C2.

Summary:
As for the formation energy: 198.9 meV per atom. Its mass density is 2.32 g/cm3. For the total energy, the calculation gives -150.96 eV/cell. The calculation puts the energy above the most stable polymorph in this dataset at 29 meV/atom. The total magnetization comes out at 0.000 μB/cell.

a b c (Å): 5.0478 8.6276 7.7644
angles (deg): 90.00 107.56 90.00
Last column: nearest neighbours and their distance in Å.
Positions (direct):
Na 0.0000 0.0000 0.0000  8 B 2.69-2.77, 4 C 2.73-2.74, 6 Na 2.90-2.95
Na 0.0000 0.5000 0.0000  8 B 2.69-2.77, 4 C 2.73-2.74, 6 Na 2.90-2.95
Na 0.1969 0.0014 0.3990  11 B 2.70-2.87, 1 C 2.75, 6 Na 2.88-2.99
Na 0.1969 0.4986 0.3990  11 B 2.70-2.87, 1 C 2.75, 6 Na 2.88-2.99
Na 0.4032 0.5020 0.8008  9 B 2.70-2.79, 3 C 2.73-2.76, 6 Na 2.89-2.98
Na 0.4032 0.9980 0.8008  9 B 2.70-2.79, 3 C 2.73-2.76, 6 Na 2.89-2.98
Na 0.5968 0.0020 0.1992  9 B 2.70-2.79, 3 C 2.73-2.76, 6 Na 2.89-2.98
Na 0.5968 0.4980 0.1992  9 B 2.70-2.79, 3 C 2.73-2.76, 6 Na 2.89-2.98
Na 0.8031 0.5014 0.6010  11 B 2.70-2.87, 1 C 2.75, 6 Na 2.88-2.99
Na 0.8031 0.9986 0.6010  11 B 2.70-2.87, 1 C 2.75, 6 Na 2.88-2.99
B 0.0689 0.2500 0.8119  2 C 1.62-1.63, 1 B 1.79
B 0.0791 0.7500 0.8061  3 B 1.75-1.76
B 0.1254 0.7500 0.5918  3 B 1.68-1.75
B 0.1415 0.2500 0.6003  3 B 1.68-1.79
B 0.2651 0.2500 0.1866  1 C 1.62, 2 B 1.74-1.76
B 0.3496 0.7500 0.0114  2 C 1.63-1.64, 1 B 1.76
B 0.4766 0.7500 0.6065  3 B 1.74-1.80
B 0.4958 0.2500 0.6196  1 C 1.58, 1 B 1.75
B 0.5042 0.7500 0.3804  1 C 1.58, 1 B 1.75
B 0.5234 0.2500 0.3935  3 B 1.74-1.80
B 0.6504 0.2500 0.9886  2 C 1.63-1.64, 1 B 1.76
B 0.7349 0.7500 0.8134  1 C 1.62, 2 B 1.74-1.76
B 0.8585 0.7500 0.3997  3 B 1.68-1.79
B 0.8746 0.2500 0.4082  3 B 1.68-1.75
B 0.9209 0.2500 0.1939  3 B 1.75-1.76
B 0.9311 0.7500 0.1881  2 C 1.62-1.63, 1 B 1.79
C 0.2586 0.7500 0.1965  3 B 1.58-1.64
C 0.3303 0.2500 0.9951  3 B 1.62-1.63
C 0.6697 0.7500 0.0049  3 B 1.62-1.63
C 0.7414 0.2500 0.8035  3 B 1.58-1.64